[1]
Entry from the Alexandria database: an optimized crystal structure of CaTl2HgPd (PBE).

Values from the calculation:
formation enthalpy at 0 K	-0.22	eV/atom
M_tot	0.0	μB/f.u.

a = 5.3020 Å, b = 5.3020 Å, c = 5.4931 Å
α = 90.00°, β = 90.00°, γ = 90.00°
Fractional coordinates of all 5 atoms:
Ca  0.0000  0.0000  0.0000
Tl  0.0000  0.5000  0.5000
Tl  0.5000  0.0000  0.5000
Hg  0.5000  0.5000  0.0000
Pd  0.0000  0.0000  0.5000


[2]
Entry from the Alexandria database: an optimized crystal structure of Ho2AlCl (PBE).

Values from the calculation:
ΔE_f (raw)	-3.0	eV per formula unit
E above lowest polymorph	0.000	eV/atom
M_tot	0.0	μB/f.u.

a = 8.9090 Å, b = 8.9090 Å, c = 8.9090 Å
α = 23.07°, β = 23.07°, γ = 23.07°
Fractional coordinates of all 4 atoms:
Ho  0.0000  0.0000  0.0000
Ho  0.1670  0.1670  0.1670
Al  0.5833  0.5833  0.5833
Cl  0.7527  0.7527  0.7527


[3]
Entry from the Alexandria database: an optimized crystal structure of YEr2Pa (PBE).

Values from the calculation:
E above lowest polymorph	0.176	eV/atom
formation enthalpy at 0 K	0.29	eV/atom
M_tot	0.0	μB/f.u.

a = 12.3187 Å, b = 12.3187 Å, c = 12.3187 Å
α = 15.50°, β = 15.50°, γ = 15.50°
Fractional coordinates of all 4 atoms:
Y  0.0000  0.0000  0.0000
Er  0.4127  0.4127  0.4127
Er  0.5873  0.5873  0.5873
Pa  0.5000  0.5000  0.5000


[4]
Entry from the Alexandria database: an optimized crystal structure of Cs3OsPt (PBE).

Values from the calculation:
E above lowest polymorph	0.000	eV/atom
formation enthalpy at 0 K	1.24	eV/atom
M_tot	3.0	μB/f.u.

a = 6.5434 Å, b = 6.5434 Å, c = 6.5434 Å
α = 90.00°, β = 90.00°, γ = 90.00°
Fractional coordinates of all 5 atoms:
Cs  0.0000  0.0000  0.5000
Cs  0.0000  0.5000  0.0000
Cs  0.5000  0.0000  0.0000
Os  0.5000  0.5000  0.5000
Pt  0.0000  0.0000  0.0000


[5]
Entry from the Alexandria database: an optimized crystal structure of DyYUO6 (PBE).

Values from the calculation:
ΔE_f (raw)	-30.1	eV per formula unit
M_tot	0.0	μB/f.u.

a = 5.7718 Å, b = 5.7718 Å, c = 9.3750 Å
α = 90.00°, β = 90.00°, γ = 120.00°
Fractional coordinates of all 18 atoms:
Dy  0.0000  0.0000  0.0000
Dy  0.0000  0.0000  0.5000
Y  0.3333  0.6667  0.2500
Y  0.6667  0.3333  0.7500
U  0.3333  0.6667  0.7500
U  0.6667  0.3333  0.2500
O  0.0239  0.3540  0.6337
O  0.0239  0.6699  0.8663
O  0.3301  0.3540  0.8663
O  0.3301  0.9761  0.6337
O  0.3540  0.0239  0.1337
O  0.3540  0.3301  0.3663
O  0.6460  0.6699  0.6337
O  0.6460  0.9761  0.8663
O  0.6699  0.0239  0.3663
O  0.6699  0.6460  0.1337
O  0.9761  0.3301  0.1337
O  0.9761  0.6460  0.3663


[6]
Entry from the Alexandria database: an optimized crystal structure of Dy7HoTm3 (PBE).

Values from the calculation:
E above lowest polymorph	0.000	eV/atom
formation enthalpy at 0 K	0.14	eV/atom
M_tot	0.0	μB/f.u.

a = 6.9149 Å, b = 5.4775 Å, c = 9.7959 Å
α = 90.00°, β = 110.27°, γ = 90.00°
Fractional coordinates of all 11 atoms:
Dy  0.0000  0.0000  0.0000
Dy  0.1472  0.5000  0.2913
Dy  0.3215  0.5000  0.6415
Dy  0.4191  0.0000  0.8308
Dy  0.5809  0.0000  0.1692
Dy  0.6785  0.5000  0.3585
Dy  0.8528  0.5000  0.7087
Ho  0.0000  0.0000  0.5000
Tm  0.2784  0.5000  0.9984
Tm  0.5000  0.0000  0.5000
Tm  0.7216  0.5000  0.0016


[7]
Entry from the Alexandria database: an optimized crystal structure of Mg3IrSe (PBE).

Values from the calculation:
ΔE_f (raw)	-0.2	eV per formula unit
E above lowest polymorph	0.000	eV/atom
M_tot	0.0	μB/f.u.

a = 4.9401 Å, b = 4.9401 Å, c = 4.9401 Å
α = 90.00°, β = 90.00°, γ = 90.00°
Fractional coordinates of all 5 atoms:
Mg  0.0000  0.0000  0.5000
Mg  0.0000  0.5000  0.0000
Mg  0.5000  0.0000  0.0000
Ir  0.0000  0.0000  0.0000
Se  0.5000  0.5000  0.5000


[8]
Entry from the Alexandria database: an optimized crystal structure of MgPIrO2 (PBE).

Values from the calculation:
ΔE_f (raw)	-2.0	eV per formula unit
E above lowest polymorph	0.000	eV/atom
M_tot	0.2	μB/f.u.

a = 3.8076 Å, b = 3.8076 Å, c = 5.2262 Å
α = 90.00°, β = 90.00°, γ = 90.00°
Fractional coordinates of all 5 atoms:
Mg  0.0000  0.0000  0.0000
P  0.5000  0.5000  0.0000
Ir  0.5000  0.5000  0.5000
O  0.0000  0.5000  0.5000
O  0.5000  0.0000  0.5000